VASP calculation (PBE with a Hubbard U) on a relaxed ScFeAu2O6 crystal.

Output
Symmetry   C2/c, No. 15
Calculated total energy   -119.84 eV/cell

POSCAR file:
```
ScFeAu2O6
1.0
5.911 -3.766 0.000
5.911 3.766 0.000
-1.564 0.000 5.746
Sc Fe Au O
2 2 4 12
direct
0.125 0.875 0.750
0.875 0.125 0.250
0.307 0.693 0.250
0.693 0.307 0.750
0.122 0.392 0.761
0.392 0.122 0.261
0.608 0.878 0.739
0.878 0.608 0.239
0.001 0.827 0.373
0.173 0.999 0.127
0.207 0.442 0.285
0.238 0.615 0.915
0.385 0.762 0.585
0.442 0.207 0.785
0.558 0.793 0.215
0.615 0.238 0.415
0.762 0.385 0.085
0.793 0.558 0.715
0.827 0.001 0.873
0.999 0.173 0.627
```